Material: Pm2ThPd2
Method: DFT, PBE
State: relaxed

Computed properties:
**SG**: Cmcm
**Density of states at the Fermi level**: 12.17 states/eV per cell
**Size of the total moment**: 0.00 μB per cell
**E_form**: -0.3207 eV/atom
**ΔE to the lowest computed polymorph**: 0.253 eV/atom

Cell lengths 7.9509, 7.9509, 6.2313 Å; angles 90.00, 90.00, 133.92 degrees
Closest atoms and distances in Å follow each position.
Fractional coordinates of all 10 atoms:
1 Pm 0.0807 0.9193 0.7500  6 Pd 3.24-3.47
2 Pm 0.2845 0.7155 0.2500  2 Pd 2.82
3 Pm 0.7155 0.2845 0.7500  2 Pd 2.82
4 Pm 0.9193 0.0807 0.2500  6 Pd 3.24-3.47
5 Th 0.5000 0.5000 0.0000  4 Pd 2.87, 2 Th 3.12
6 Th 0.5000 0.5000 0.5000  4 Pd 2.87, 2 Th 3.12
7 Pd 0.1110 0.3475 0.7500  1 Pm 2.82, 1 Pd 2.85, 2 Th 2.87
8 Pd 0.3475 0.1110 0.2500  1 Pm 2.82, 1 Pd 2.85, 2 Th 2.87
9 Pd 0.6525 0.8890 0.7500  1 Pm 2.82, 1 Pd 2.85, 2 Th 2.87
10 Pd 0.8890 0.6525 0.2500  1 Pm 2.82, 1 Pd 2.85, 2 Th 2.87

Material: Pm2ThPd3
Method: DFT, PBE
State: relaxed

Computed properties:
**SG**: C2/c
**Density of states at the Fermi level**: 4.53 states/eV per cell
**Size of the total moment**: 0.00 μB per cell
**E_form**: -0.7047 eV/atom

Cell lengths 7.2914, 7.2914, 8.3196 Å; angles 106.48, 106.48, 47.95 degrees
Closest atoms and distances in Å follow each position.
Fractional coordinates of all 12 atoms:
1 Pm 0.1655 0.1673 0.0831  6 Pd 2.96-3.01
2 Pm 0.1673 0.1655 0.5831  6 Pd 2.96-3.01
3 Pm 0.8327 0.8345 0.4169  6 Pd 2.96-3.01
4 Pm 0.8345 0.8327 0.9169  6 Pd 2.96-3.01
5 Th 0.4993 0.5007 0.7500  6 Pd 2.92-2.96
6 Th 0.5007 0.4993 0.2500  6 Pd 2.92-2.96
7 Pd 0.0007 0.9993 0.2500  4 Pm 2.96, 2 Th 2.96
8 Pd 0.3373 0.3391 0.4189  2 Th 2.92, 4 Pm 2.96-3.01
9 Pd 0.3391 0.3373 0.9189  2 Th 2.92, 4 Pm 2.96-3.01
10 Pd 0.6609 0.6627 0.0811  2 Th 2.92, 4 Pm 2.96-3.01
11 Pd 0.6627 0.6609 0.5811  2 Th 2.92, 4 Pm 2.96-3.01
12 Pd 0.9993 0.0007 0.7500  4 Pm 2.96, 2 Th 2.96

Material: PmThPd2
Method: DFT, PBE
State: relaxed

Computed properties:
**SG**: Fm-3m
**Density of states at the Fermi level**: 13.24 states/eV per cell
**Size of the total moment**: 0.00 μB per cell
**E_form**: -0.6949 eV/atom
**ΔE to the lowest computed polymorph**: 0.100 eV/atom

Cell lengths 7.2302, 7.2302, 7.2302 Å; angles 90.00, 90.00, 90.00 degrees
Closest atoms and distances in Å follow each position.
Fractional coordinates of all 16 atoms:
1 Pm 0.0000 0.0000 0.0000  8 Pd 3.13
2 Pm 0.0000 0.5000 0.5000  8 Pd 3.13
3 Pm 0.5000 0.0000 0.5000  8 Pd 3.13
4 Pm 0.5000 0.5000 0.0000  8 Pd 3.13
5 Th 0.0000 0.0000 0.5000  8 Pd 3.13
6 Th 0.0000 0.5000 0.0000  8 Pd 3.13
7 Th 0.5000 0.0000 0.0000  8 Pd 3.13
8 Th 0.5000 0.5000 0.5000  8 Pd 3.13
9 Pd 0.2500 0.2500 0.2500  4 Th 3.13, 4 Pm 3.13
10 Pd 0.2500 0.2500 0.7500  4 Th 3.13, 4 Pm 3.13
11 Pd 0.2500 0.7500 0.2500  4 Th 3.13, 4 Pm 3.13
12 Pd 0.2500 0.7500 0.7500  4 Th 3.13, 4 Pm 3.13
13 Pd 0.7500 0.2500 0.2500  4 Th 3.13, 4 Pm 3.13
14 Pd 0.7500 0.2500 0.7500  4 Th 3.13, 4 Pm 3.13
15 Pd 0.7500 0.7500 0.2500  4 Th 3.13, 4 Pm 3.13
16 Pd 0.7500 0.7500 0.7500  4 Th 3.13, 4 Pm 3.13

Which of these has the lowest E_form? Pm2ThPd3